Record 1
LiCaSmZn: optimized geometry, GGA-PBE.

calculated formation energy	-0.12	eV/atom
ρ	4.11	g/cm3
size of the total moment	0.3	μB per cell

Cell: 3.7425 3.7425 7.5769 Å, 90.00 90.00 90.00°
Last column: nearest neighbours and their distance in Å.
Space group P4mm (No. 99)
Symmetry-distinct sites (fractional):
Li: 0.0000 0.0000 0.0000  4 Sm 3.31, 4 Ca 3.38, 1 Zn 3.59
Ca: 0.5000 0.5000 0.7231  4 Zn 3.25, 4 Li 3.38, 1 Sm 3.49
Sm: 0.5000 0.5000 0.2629  4 Zn 3.09, 4 Li 3.31
Zn: 0.0000 0.0000 0.4744  4 Sm 3.09, 4 Ca 3.25

***

Record 2
TaP3: optimized geometry, GGA-PBE.

calculated formation energy	0.30	eV/atom
ρ	7.64	g/cm3
size of the total moment	0.0	μB per cell

Cell: 6.1969 6.1969 6.1969 Å, 90.00 90.00 90.00°
Last column: nearest neighbours and their distance in Å.
Space group Fm-3m (No. 225)
Symmetry-distinct sites (fractional):
Ta: 0.0000 0.0000 0.0000  8 P 2.68
P: 0.0000 0.0000 0.5000  8 P 2.68
P: 0.2500 0.2500 0.2500  4 Ta 2.68, 4 P 2.68

***

Record 3
K2NaTbCl6: optimized geometry, GGA-PBE.

E_form (uncorrected)	-2060.4	meV per atom
ρ	2.54	g/cm3
size of the total moment	0.0	μB per cell

Cell: 10.7376 10.7376 10.7376 Å, 90.00 90.00 90.00°
Last column: nearest neighbours and their distance in Å.
Space group Fm-3m (No. 225)
Symmetry-distinct sites (fractional):
K: 0.2500 0.2500 0.2500  12 Cl 3.80
Na: 0.0000 0.0000 0.0000  6 Cl 2.73
Tb: 0.0000 0.0000 0.5000  6 Cl 2.64
Cl: 0.0000 0.0000 0.2543  1 Tb 2.64, 1 Na 2.73

***

Record 4
P3PtS: optimized geometry, GGA-PBE.

E_form (uncorrected)	1017.2	meV per atom
ρ	5.15	g/cm3
size of the total moment	0.0	μB per cell

Cell: 4.6898 4.6898 4.6898 Å, 90.00 90.00 90.00°
Last column: nearest neighbours and their distance in Å.
Space group Pm-3m (No. 221)
Symmetry-distinct sites (fractional):
P: 0.0000 0.0000 0.5000  2 Pt 2.34
Pt: 0.0000 0.0000 0.0000  6 P 2.34
S: 0.5000 0.5000 0.5000  12 P 3.32

***

Record 5
TcSe2I: optimized geometry, GGA-PBE.

E_form (uncorrected)	-24.2	meV per atom
ρ	5.33	g/cm3
size of the total moment	0.0	μB per cell

Cell: 6.9415 9.4494 7.2769 Å, 90.00 90.00 90.00°
Last column: nearest neighbours and their distance in Å.
Space group Pna2_1 (No. 33)
Symmetry-distinct sites (fractional):
Tc: 0.0918 0.1071 0.0000  4 Se 2.37-2.46
Se: 0.1058 0.9235 0.2217  2 Tc 2.37-2.46
Se: 0.1789 0.7700 0.6300  2 Tc 2.40-2.41
I: 0.1029 0.4962 0.3139  1 Tc 2.72, 1 Se 2.94

***

Record 6
Mg2InAg: optimized geometry, GGA-PBE.

calculated formation energy	-0.11	eV/atom
ρ	5.31	g/cm3
size of the total moment	0.0	μB per cell

Cell: 10.0488 3.6304 4.8271 Å, 90.00 105.69 90.00°
Last column: nearest neighbours and their distance in Å.
Space group Cm (No. 8)
Symmetry-distinct sites (fractional):
Mg: 0.0000 0.0000 0.0000  3 Ag 2.94-3.03, 4 In 2.99-3.06, 3 Mg 3.07-3.21
Mg: 0.2360 0.0000 0.7075  4 Ag 2.96-3.08, 3 In 2.96-3.08, 3 Mg 3.07-3.21
In: 0.4816 0.0000 0.4801  7 Mg 2.96-3.08, 3 Ag 3.07-3.23
Ag: 0.2367 0.5000 0.1914  7 Mg 2.94-3.08, 3 In 3.07-3.23

***

Record 7
AlFeCu2: optimized geometry, GGA-PBE.

calculated formation energy	0.24	eV/atom
ρ	6.43	g/cm3
size of the total moment	8.0	μB per cell

Cell: 3.4815 3.4815 17.8969 Å, 90.00 90.00 90.00°
Last column: nearest neighbours and their distance in Å.
Space group I-42d (No. 122)
Symmetry-distinct sites (fractional):
Al: 0.0000 0.0000 0.0000  4 Fe 2.46, 4 Cu 2.56
Fe: 0.0000 0.0000 0.5000  4 Al 2.46, 4 Cu 2.55
Cu: 0.2486 0.2500 0.6250  4 Cu 2.45-2.47, 2 Fe 2.55, 2 Al 2.56

***

Record 8
CdTe2PtI: optimized geometry, GGA-PBE.

E_form (uncorrected)	252.6	meV per atom
ρ	7.20	g/cm3
size of the total moment	0.0	μB per cell

Cell: 5.3645 5.3645 5.5261 Å, 90.00 90.00 90.00°
Last column: nearest neighbours and their distance in Å.
Space group P4/mmm (No. 123)
Symmetry-distinct sites (fractional):
Cd: 0.0000 0.0000 0.0000  4 I 3.79, 8 Te 3.85
Te: 0.0000 0.5000 0.5000  2 Pt 2.68
Pt: 0.5000 0.5000 0.5000  4 Te 2.68, 2 I 2.76
I: 0.5000 0.5000 0.0000  2 Pt 2.76

***

Copy entry 1 word for word.
LiCaSmZn: optimized geometry, GGA-PBE.

calculated formation energy	-0.12	eV/atom
ρ	4.11	g/cm3
size of the total moment	0.3	μB per cell

Cell: 3.7425 3.7425 7.5769 Å, 90.00 90.00 90.00°
Last column: nearest neighbours and their distance in Å.
Space group P4mm (No. 99)
Symmetry-distinct sites (fractional):
Li: 0.0000 0.0000 0.0000  4 Sm 3.31, 4 Ca 3.38, 1 Zn 3.59
Ca: 0.5000 0.5000 0.7231  4 Zn 3.25, 4 Li 3.38, 1 Sm 3.49
Sm: 0.5000 0.5000 0.2629  4 Zn 3.09, 4 Li 3.31
Zn: 0.0000 0.0000 0.4744  4 Sm 3.09, 4 Ca 3.25

***

Question: The highest size of the total moment belongs to which entry?
Answer: AlFeCu2

***

Repeat the fifth record exactly.
TcSe2I: optimized geometry, GGA-PBE.

E_form (uncorrected)	-24.2	meV per atom
ρ	5.33	g/cm3
size of the total moment	0.0	μB per cell

Cell: 6.9415 9.4494 7.2769 Å, 90.00 90.00 90.00°
Last column: nearest neighbours and their distance in Å.
Space group Pna2_1 (No. 33)
Symmetry-distinct sites (fractional):
Tc: 0.0918 0.1071 0.0000  4 Se 2.37-2.46
Se: 0.1058 0.9235 0.2217  2 Tc 2.37-2.46
Se: 0.1789 0.7700 0.6300  2 Tc 2.40-2.41
I: 0.1029 0.4962 0.3139  1 Tc 2.72, 1 Se 2.94